No. 1
ErIn2Au: relaxed, PBE-GGA.

The structure in POSCAR format:
```
ErIn2Au
1.0
-1.292 3.188 -2.943
-0.542 -3.133 -3.156
-4.260 -0.548 1.276
In Au Er
2 1 1
Cartesian
-0.271 -1.567 -1.578
-2.130 -0.274 0.638
-0.646 1.594 -1.472
-3.047 -0.247 -2.411
```


No. 2
Er6InAu2: relaxed, PBE-GGA.

The structure in POSCAR format:
```
Er6InAu2
1.0
-8.151 1.924 -1.961
2.873 -6.954 -4.168
0.841 -2.006 8.322
Er Au In
12 4 2
Cartesian
-1.572 -5.579 2.772
-0.345 -4.412 -0.453
-2.865 -1.456 -0.579
-4.091 -2.623 2.646
-3.859 -4.883 -0.071
-0.578 -2.153 2.264
-5.118 -3.603 -3.196
0.943 -7.518 0.987
-5.379 0.483 1.206
1.366 -6.840 4.437
-5.802 -0.196 -2.244
0.681 -3.432 5.389
-2.505 -0.028 2.180
-2.295 -3.320 4.701
-2.141 -3.715 -2.508
-4.805 -0.053 4.181
1.857 -4.480 2.077
0.000 0.000 0.000
```


No. 3
Er4InAu: relaxed, PBE-GGA.

The structure in POSCAR format:
```
Er4InAu
1.0
4.845 0.000 -2.265
0.000 6.864 0.000
-0.224 0.000 9.741
Er Au In
8 2 2
Cartesian
4.523 3.375 0.255
3.001 1.716 7.128
4.523 0.057 0.255
0.098 6.807 7.221
1.620 5.148 0.347
0.098 3.489 7.221
1.715 5.148 4.630
2.906 1.716 2.846
1.006 1.716 4.941
3.615 5.148 2.534
1.510 1.716 0.058
3.110 5.148 7.417
```


No. 4
ErIn2Au: relaxed, PBE-GGA.

The structure in POSCAR format:
```
ErIn2Au
1.0
4.558 0.000 -1.264
-0.351 4.544 -1.264
0.016 0.017 8.905
In Au Er
4 2 2
Cartesian
-0.175 2.272 -0.632
1.516 1.637 5.466
2.707 2.924 0.912
2.279 0.000 -0.632
3.339 1.145 3.189
0.884 3.417 3.189
3.651 3.944 4.316
0.572 0.617 2.061
```


No. 5
Er4In2Au: relaxed, PBE-GGA.

The structure in POSCAR format:
```
Er4In2Au
1.0
4.931 0.000 1.540
2.225 4.400 1.540
-0.090 -0.055 8.948
Er In Au
4 2 1
Cartesian
6.237 3.836 6.019
2.601 1.600 8.996
4.464 2.745 3.033
0.828 0.509 6.010
5.327 3.276 8.933
1.739 1.069 3.095
0.000 0.000 0.000
```


No. 6
Er4InAu2: relaxed, PBE-GGA.

The structure in POSCAR format:
```
Er4InAu2
1.0
-1.591 -4.034 2.179
-0.393 -4.128 -2.523
8.320 -5.002 2.221
Er In Au
4 1 2
Cartesian
6.328 -7.385 1.760
0.007 -5.779 0.117
3.484 -9.551 1.078
2.851 -3.613 0.799
0.000 0.000 0.000
5.592 -4.309 1.511
0.743 -8.855 0.366
```


No. 7
Er2InAu6: relaxed, PBE-GGA.

The structure in POSCAR format:
```
Er2InAu6
1.0
-4.848 1.731 -0.622
-2.956 0.925 4.187
1.138 7.864 2.305
Au Er In
6 2 1
Cartesian
-3.122 2.327 3.744
-3.543 8.193 2.126
-5.324 3.155 1.982
-1.342 7.364 3.888
-2.010 4.808 2.385
-4.655 5.711 3.485
-2.701 2.405 0.773
-3.965 8.115 5.097
0.569 3.932 1.153
```


No. 8
Er2InAu4: relaxed, PBE-GGA.

The structure in POSCAR format:
```
Er2InAu4
1.0
4.636 0.000 1.449
2.092 4.138 1.449
-0.090 -0.055 8.432
Au In Er
4 1 2
Cartesian
0.801 0.492 5.582
2.457 1.511 8.423
5.838 3.590 5.747
4.181 2.571 2.906
0.000 0.000 0.000
4.989 3.068 8.464
1.650 1.014 2.864
```


Formation energy from the elements? In order: -46.0; -49.0; -43.9; -51.0; -38.6; -44.0; -59.9; -58.2 kJ per mole of atoms.